Entry 1:
A geometry-optimized BaSrBe structure. Source: the Alexandria database, functional PBE-GGA.

The structure belongs to space group P3m1 (No. 156); the cell edges are 4.5854, 4.5854 and 7.5019 Å and the angles 90.00°, 90.00° and 120.00°. Symmetry generates all atoms from Ba at (0.0000, 0.0000, 0.0000), Sr at (0.3333, 0.6667, 0.4795) and Be at (0.6667, 0.3333, 0.2566).

For the relative energy among the computed polymorphs, the calculation gives 134.1 meV/atom.


Entry 2:
A geometry-optimized BaSrBe2 structure. Source: the Alexandria database, functional PBE-GGA.

The structure belongs to space group R-3m (No. 166, hexagonal axes); the cell edges are 4.6164, 4.6164 and 23.1185 Å and the angles 90.00°, 90.00° and 120.00°. Symmetry generates all atoms from Ba at (0.0000, 0.0000, 0.0000), Sr at (0.0000, 0.0000, 0.5000) and Be at (0.0000, 0.0000, 0.2422).

For the relative energy among the computed polymorphs, the calculation gives 473.2 meV/atom.


Entry 3:
A geometry-optimized BaSrBe3 structure. Source: the Alexandria database, functional PBE-GGA.

The structure belongs to space group Pm-3m (No. 221); the cell edges are 5.500, 5.500 and 5.500 Å and the angles 90.00°, 90.00° and 90.00°. Symmetry generates all atoms from Ba at (0.000, 0.000, 0.000), Sr at (0.500, 0.500, 0.500) and Be at (0.000, 0.500, 0.500).

For the relative energy among the computed polymorphs, the calculation gives 0.0 meV/atom.


How do the records compare in theoretical density? In the order shown, they have 2.844; 2.837; 2.515 Mg/m³.